Here is crystalline Mg4Ir at its relaxed geometry from Alexandria via LeMat-Bulk. Energies are from PBE.

Cell lengths 7.4992, 7.4992, 7.4992 Å; angles 134.58, 134.58, 66.18 degrees
Last column: nearest neighbours and their distance in Å.
Fractional positions:
Mg  0.0618  0.1867  0.3408  2 Ir 2.66-2.67
Mg  0.2210  0.5618  0.3750  2 Ir 2.66-2.67
Mg  0.3133  0.1540  0.8750  2 Ir 2.66-2.67
Mg  0.3460  0.7210  0.1592  2 Ir 2.66-2.67
Mg  0.6540  0.2790  0.8408  2 Ir 2.66-2.67
Mg  0.6867  0.8460  0.1250  2 Ir 2.66-2.67
Mg  0.7790  0.4382  0.6250  2 Ir 2.66-2.67
Mg  0.9382  0.8133  0.6592  2 Ir 2.66-2.67
Ir  0.3750  0.1250  0.2500  8 Mg 2.66-2.67
Ir  0.6250  0.8750  0.7500  8 Mg 2.66-2.67

Results
Fermi-level density of states (states/eV per cell): 4.53
E_form (eV per atom): -0.1744
E_tot (eV per cell): -32.2
Symmetry: I4_1/a (88)

Here is crystalline TlAg3Pd6 at its relaxed geometry from Alexandria via LeMat-Bulk. Energies are from PBE.

Cell lengths 7.6218, 4.6870, 10.0936 Å; angles 90.00, 111.23, 90.00 degrees
Last column: nearest neighbours and their distance in Å.
Fractional positions:
Tl  0.1995  0.2500  0.1330  10 Pd 2.80-2.91, 2 Ag 3.01
Tl  0.8005  0.7500  0.8670  10 Pd 2.80-2.91, 2 Ag 3.01
Ag  0.0108  0.7500  0.6651  8 Pd 2.81-2.89, 3 Ag 2.89-2.91, 1 Tl 3.01
Ag  0.2073  0.7500  0.4686  9 Pd 2.82-2.90, 3 Ag 2.89-2.91
Ag  0.3995  0.2500  0.9244  9 Pd 2.80-2.91, 2 Ag 2.91, 1 Tl 3.01
Ag  0.6005  0.7500  0.0756  9 Pd 2.80-2.91, 2 Ag 2.91, 1 Tl 3.01
Ag  0.7927  0.2500  0.5314  9 Pd 2.82-2.90, 3 Ag 2.89-2.91
Ag  0.9892  0.2500  0.3349  8 Pd 2.81-2.89, 3 Ag 2.89-2.91, 1 Tl 3.01
Pd  0.0023  0.7500  0.1716  4 Ag 2.83-2.89, 3 Tl 2.89-2.90, 5 Pd 2.89-2.97
Pd  0.2002  0.2500  0.6312  5 Pd 2.77-2.93, 7 Ag 2.80-2.90
Pd  0.2040  0.7500  0.9690  4 Ag 2.82-2.90, 3 Tl 2.87-2.88, 5 Pd 2.89-2.97
Pd  0.3956  0.2500  0.4314  7 Pd 2.78-2.92, 4 Ag 2.82-2.89, 1 Tl 2.84
Pd  0.4059  0.7500  0.7681  1 Tl 2.80, 5 Ag 2.81-2.91, 6 Pd 2.85-2.96
Pd  0.4100  0.7500  0.2761  8 Pd 2.77-2.92, 2 Ag 2.89, 2 Tl 2.91
Pd  0.5900  0.2500  0.7239  8 Pd 2.77-2.92, 2 Ag 2.89, 2 Tl 2.91
Pd  0.5941  0.2500  0.2319  1 Tl 2.80, 5 Ag 2.81-2.91, 6 Pd 2.85-2.96
Pd  0.6044  0.7500  0.5686  7 Pd 2.78-2.92, 4 Ag 2.82-2.89, 1 Tl 2.84
Pd  0.7960  0.2500  0.0310  4 Ag 2.82-2.90, 3 Tl 2.87-2.88, 5 Pd 2.89-2.97
Pd  0.7998  0.7500  0.3688  5 Pd 2.77-2.93, 7 Ag 2.80-2.90
Pd  0.9977  0.2500  0.8284  4 Ag 2.83-2.89, 3 Tl 2.89-2.90, 5 Pd 2.89-2.97

Results
Relative energy among the computed polymorphs (eV per atom): 0.000
Fermi-level density of states (states/eV per cell): 12.87
E_form (eV per atom): -0.0764
E_tot (eV per cell): -85.7
Symmetry: P2_1/m (11)

Here is crystalline MnW2N at its relaxed geometry from Alexandria via LeMat-Bulk. Energies are from PBE.

Cell lengths 8.2669, 8.2669, 8.2669 Å; angles 19.39, 19.39, 19.39 degrees
Last column: nearest neighbours and their distance in Å.
Fractional positions:
Mn  0.0000  0.0000  0.0000  2 W 2.57, 6 Mn 2.78
W  0.1058  0.1058  0.1058  3 N 2.19
W  0.8942  0.8942  0.8942  3 N 2.19
N  0.5000  0.5000  0.5000  6 W 2.19

Results
Fermi-level density of states (states/eV per cell): 2.68
E_tot (eV per cell): -41.3
Symmetry: R-3m (166)
E_form (uncorrected) (eV/atom): 0.534

Here is crystalline KLi3I4 at its relaxed geometry from Alexandria via LeMat-Bulk. Energies are from PBE.

Cell lengths 9.8473, 8.2326, 7.7190 Å; angles 90.00, 90.00, 90.00 degrees
Last column: nearest neighbours and their distance in Å.
Fractional positions:
K  0.0000  0.1679  0.0000  4 I 3.40-3.51
K  0.5000  0.8321  0.5000  4 I 3.40-3.51
Li  0.0000  0.8138  0.4863  4 I 2.77-2.84
Li  0.2465  0.3379  0.4961  4 I 2.78-2.89
Li  0.2535  0.6621  0.9961  4 I 2.78-2.89
Li  0.5000  0.1862  0.9863  4 I 2.77-2.84
Li  0.7465  0.6621  0.9961  4 I 2.78-2.89
Li  0.7535  0.3379  0.4961  4 I 2.78-2.89
I  0.0000  0.1538  0.5453  3 Li 2.84-2.89
I  0.0000  0.7686  0.1302  3 Li 2.77-2.84
I  0.2128  0.6446  0.6392  3 Li 2.78-2.79
I  0.2872  0.3554  0.1392  3 Li 2.78-2.79
I  0.5000  0.2314  0.6302  3 Li 2.77-2.84
I  0.5000  0.8462  0.0453  3 Li 2.84-2.89
I  0.7128  0.3554  0.1392  3 Li 2.78-2.79
I  0.7872  0.6446  0.6392  3 Li 2.78-2.79

Results
Fermi-level density of states (states/eV per cell): 0.00
E_tot (eV per cell): -46.2
Symmetry: Pmn2_1 (31)
E_form (uncorrected) (eV/atom): -1.255